A plane-wave DFT calculation with PBE-GGA was carried out for a relaxed structure of LaNdDy4Er2.

Its magnetic moment is 0.00 μB/f.u. The value obtained for the density of states at the Fermi level is 21.84 states/eV per cell. The crystal system is monoclinic. Its energy of formation from the pure elements is 0.0225 eV per atom.

Cell lengths 7.1638, 7.1687, 10.0847 Å; angles 90.00, 90.06, 90.00 degrees
Fractional positions:
La  0.0000  0.0000  0.0000
La  0.5000  0.0000  0.0000
Nd  0.0000  0.0000  0.5000
Nd  0.0000  0.5000  0.0000
Dy  0.2519  0.2533  0.2543
Dy  0.2524  0.2532  0.7459
Dy  0.2519  0.7467  0.2543
Dy  0.2524  0.7468  0.7459
Dy  0.7476  0.2532  0.2541
Dy  0.7481  0.2533  0.7457
Dy  0.7476  0.7468  0.2541
Dy  0.7481  0.7467  0.7457
Er  0.0000  0.5000  0.5000
Er  0.5000  0.0000  0.5000
Er  0.5000  0.5000  0.0000
Er  0.5000  0.5000  0.5000